A:
Below is a geometry-optimized LaReTe2 structure, with properties calculated at the PBE-GGA level.

Calculated values
- Symmetry: P4/mmm
- Density of states at the Fermi level: 3.450 states/eV per cell

a b c (Å): 3.4781 3.4781 7.7280
angles (deg): 90.00 90.00 90.00
Last column: nearest neighbours and their distance in Å.
Fractional coordinates of all 4 atoms:
1 La 0.5000 0.5000 0.2500  8 Te 3.34, 4 La 3.48
2 Re 0.5000 0.5000 0.7500  8 Te 2.94
3 Te 0.0000 0.0000 0.9581  4 Re 2.94, 1 Te 3.22
4 Te 0.0000 0.0000 0.5419  4 Re 2.94, 1 Te 3.22

=====

B:
Below is a geometry-optimized LaReTe2 structure, with properties calculated at the PBE-GGA level.

Calculated values
- Symmetry: Pm
- Density of states at the Fermi level: 2.942 states/eV per cell

a b c (Å): 4.7745 3.9717 6.2887
angles (deg): 71.44 90.00 90.00
Last column: nearest neighbours and their distance in Å.
Fractional coordinates of all 4 atoms:
1 La 0.0000 0.5687 0.4891  7 Te 3.27-3.34, 4 Re 3.51
2 Re 0.5000 0.9291 0.7646  3 Te 2.58-2.66
3 Te 0.0000 0.8474 0.9286  2 Re 2.58
4 Te 0.5000 0.1548 0.3177  1 Re 2.66

=====

Which one is most stable, and which one is least stable? B is the most stable of them, while A is the least stable.

=====

A:
Below is a geometry-optimized LaReTe2 structure, with properties calculated at the PBE-GGA level.

Calculated values
- Symmetry: R-3m
- Density of states at the Fermi level: 3.215 states/eV per cell

a b c (Å): 10.4038 10.4038 10.4038
angles (deg): 19.22 19.22 19.22
Last column: nearest neighbours and their distance in Å.
Fractional coordinates of all 4 atoms:
1 Re 0.5000 0.5000 0.5000  6 Te 2.74
2 Te 0.8943 0.8943 0.8943  3 Re 2.74
3 Te 0.1057 0.1057 0.1057  3 Re 2.74
4 La 0.0000 0.0000 0.0000  2 Te 3.24, 6 La 3.47

=====

B:
Below is a geometry-optimized LaReTe2 structure, with properties calculated at the PBE-GGA level.

Calculated values
- Symmetry: R3m
- Density of states at the Fermi level: 7.462 states/eV per cell

a b c (Å): 8.5347 8.5347 8.5347
angles (deg): 28.20 28.20 28.20
Last column: nearest neighbours and their distance in Å.
Fractional coordinates of all 4 atoms:
1 La 0.4897 0.4897 0.4897  3 Re 3.13, 3 Te 3.13
2 Re 0.7416 0.7416 0.7416  3 Te 2.64
3 Te 0.0307 0.0307 0.0307  3 Re 2.64
4 Te 0.2380 0.2380 0.2380  3 La 3.13

=====

Which one is most stable, and which one is least stable? B is the most stable of them, while A is the least stable.

=====

A:
Below is a geometry-optimized LaReTe2 structure, with properties calculated at the PBE-GGA level.

Calculated values
- Symmetry: Fm-3m
- Density of states at the Fermi level: 3.038 states/eV per cell

a b c (Å): 5.1599 5.1599 5.1599
angles (deg): 60.00 60.00 60.00
Last column: nearest neighbours and their distance in Å.
Fractional coordinates of all 4 atoms:
1 Re 0.5000 0.5000 0.5000  8 Te 3.16
2 Te 0.2500 0.2500 0.2500  4 Re 3.16, 4 La 3.16
3 Te 0.7500 0.7500 0.7500  4 Re 3.16, 4 La 3.16
4 La 0.0000 0.0000 0.0000  8 Te 3.16

=====

B:
Below is a geometry-optimized LaReTe2 structure, with properties calculated at the PBE-GGA level.

Calculated values
- Symmetry: I-42d
- Density of states at the Fermi level: 9.563 states/eV per cell

a b c (Å): 5.8603 5.8603 8.7664
angles (deg): 70.47 70.47 90.00
Last column: nearest neighbours and their distance in Å.
Fractional coordinates of all 8 atoms:
1 Re 0.0000 0.0000 0.0000  4 Te 2.62
2 Re 0.7500 0.2500 0.5000  4 Te 2.62
3 Te 0.7075 0.1250 0.2500  2 Re 2.62
4 Te 0.0425 0.6250 0.2500  2 Re 2.62
5 Te 0.3750 0.2925 0.7500  2 Re 2.62
6 Te 0.8750 0.9575 0.7500  2 Re 2.62
7 La 0.5000 0.5000 0.0000  4 Te 3.11
8 La 0.2500 0.7500 0.5000  4 Te 3.11

=====

C:
Below is a geometry-optimized LaReTe2 structure, with properties calculated at the PBE-GGA level.

Calculated values
- Symmetry: P4mm
- Density of states at the Fermi level: 3.818 states/eV per cell

a b c (Å): 3.8550 3.8550 6.8984
angles (deg): 90.00 90.00 90.00
Last column: nearest neighbours and their distance in Å.
Fractional coordinates of all 4 atoms:
1 La 0.0000 0.0000 0.4863  5 Te 3.17
2 Re 0.5000 0.5000 0.8170  5 Te 2.87-2.99
3 Te 0.0000 0.0000 0.9456  4 Re 2.87, 1 La 3.17
4 Te 0.5000 0.5000 0.2511  1 Re 2.99, 4 La 3.17

=====

D:
Below is a geometry-optimized LaReTe2 structure, with properties calculated at the PBE-GGA level.

Calculated values
- Symmetry: P4/mmm
- Density of states at the Fermi level: 3.649 states/eV per cell

a b c (Å): 5.0748 5.0748 3.7152
angles (deg): 90.00 90.00 90.00
Last column: nearest neighbours and their distance in Å.
Fractional coordinates of all 4 atoms:
1 La 0.5000 0.0000 0.5000  8 Te 3.14
2 Re 0.0000 0.5000 0.5000  8 Te 3.14
3 Te 0.0000 0.0000 0.0000  4 La 3.14, 4 Re 3.14
4 Te 0.5000 0.5000 0.0000  4 Re 3.14, 4 La 3.14

=====

Which one is most stable, and which one is least stable? D is the most stable of them, while B is the least stable.